First-principles (PBE) data for an optimized crystal structure of Sm4TlHgN, as listed in Alexandria.

Formation energy (no corrections) ... -0.652 eV/atom
Electronic total energy ... -68.87 eV/cell

```
Sm4TlHgN
1.0
3.5194 -7.6204 0.0000
3.5194 7.6204 0.0000
0.0000 0.0000 7.0414
Sm Tl Hg N
8 2 2 2
Direct
0.0000 0.5000 0.0000
0.0000 0.5000 0.5000
0.0799 0.9201 0.7500
0.4143 0.5857 0.7500
0.5000 0.0000 0.0000
0.5000 0.0000 0.5000
0.5857 0.4143 0.2500
0.9201 0.0799 0.2500
0.3818 0.6182 0.2500
0.6182 0.3818 0.7500
0.1197 0.8803 0.2500
0.8803 0.1197 0.7500
0.2506 0.7494 0.7500
0.7494 0.2506 0.2500
```